CoIr2Ru at its PBEsol-relaxed geometry. Source: Alexandria via LeMat-Bulk, functional SCAN.

Lattice parameters (Å, degrees): 4.5639 4.5639 4.5651 99.87 99.87 33.84
Fractional coordinates of all 4 atoms:
Co1 0.0000 0.0000 0.0000
Ir1 0.2520 0.2520 0.7540
Ir2 0.7480 0.7480 0.2460
Ru1 0.5000 0.5000 0.5000

Output
The value obtained for the formation energy is 36.2 meV per atom. The space group is C2/m (12).


Co2IrRu at its PBEsol-relaxed geometry. Source: Alexandria via LeMat-Bulk, functional SCAN.

Lattice parameters (Å, degrees): 4.4647 4.4647 4.3769 100.11 100.11 33.91
Fractional coordinates of all 4 atoms:
Co1 0.0000 0.0000 0.0000
Co2 0.7453 0.7453 0.2352
Ir1 0.2492 0.2492 0.7451
Ru1 0.4960 0.4960 0.4840

Output
The value obtained for the formation energy is 131.1 meV per atom. The space group is Cm (8).


Co2IrRu at its PBEsol-relaxed geometry. Source: Alexandria via LeMat-Bulk, functional SCAN.

Lattice parameters (Å, degrees): 2.5870 2.5870 8.5449 90.00 90.00 117.92
Fractional coordinates of all 4 atoms:
Co1 0.0000 0.0000 0.0000
Co2 0.5000 0.5000 0.2271
Ir1 0.0000 0.0000 0.4811
Ru1 0.5000 0.5000 0.7525

Output
The value obtained for the formation energy is 272.1 meV per atom. The space group is Cmm2 (35).


Co2IrRu at its PBEsol-relaxed geometry. Source: Alexandria via LeMat-Bulk, functional SCAN.

Lattice parameters (Å, degrees): 2.6160 3.6141 5.0828 90.00 90.00 90.00
Fractional coordinates of all 4 atoms:
Co1 0.0000 0.0000 0.0000
Co2 0.5000 0.5000 0.2290
Ir1 0.0000 0.0000 0.4864
Ru1 0.5000 0.5000 0.7504

Output
The value obtained for the formation energy is 119.5 meV per atom. The space group is Pmm2 (25).


CoIr2Ru at its PBEsol-relaxed geometry. Source: Alexandria via LeMat-Bulk, functional SCAN.

Lattice parameters (Å, degrees): 2.6680 2.6680 7.3014 90.00 90.00 90.00
Fractional coordinates of all 4 atoms:
Co1 0.0000 0.0000 0.0000
Ir1 0.0000 0.0000 0.5058
Ir2 0.5000 0.5000 0.2383
Ru1 0.5000 0.5000 0.7640

Output
The value obtained for the formation energy is 62.8 meV per atom. The space group is P4mm (99).


CoIr2Ru at its PBEsol-relaxed geometry. Source: Alexandria via LeMat-Bulk, functional SCAN.

Lattice parameters (Å, degrees): 4.5473 4.5473 2.6556 90.00 90.00 109.05
Fractional coordinates of all 4 atoms:
Co1 0.0000 0.0000 0.0000
Ir1 0.0000 0.5000 0.5000
Ir2 0.5000 0.0000 0.5000
Ru1 0.5000 0.5000 0.0000

Output
The value obtained for the formation energy is 65.8 meV per atom. The space group is Cmmm (65).


CoIr2Ru at its PBEsol-relaxed geometry. Source: Alexandria via LeMat-Bulk, functional SCAN.

Lattice parameters (Å, degrees): 8.6411 8.6411 8.6411 17.74 17.74 17.74
Fractional coordinates of all 4 atoms:
Co1 0.0000 0.0000 0.0000
Ir1 0.2524 0.2524 0.2524
Ir2 0.7476 0.7476 0.7476
Ru1 0.5000 0.5000 0.5000

Output
The value obtained for the formation energy is 6.2 meV per atom. The space group is R-3m (166).


CoIr2Ru at its PBEsol-relaxed geometry. Source: Alexandria via LeMat-Bulk, functional SCAN.

Lattice parameters (Å, degrees): 2.6658 2.6658 7.2983 90.00 90.00 90.00
Fractional coordinates of all 4 atoms:
Co1 0.0000 0.0000 0.0000
Ir1 0.5000 0.5000 0.2414
Ir2 0.5000 0.5000 0.7586
Ru1 0.0000 0.0000 0.5000

Output
The value obtained for the formation energy is -11.9 meV per atom. The space group is P4/mmm (123).


CoIr2Ru at its PBEsol-relaxed geometry. Source: Alexandria via LeMat-Bulk, functional SCAN.

Lattice parameters (Å, degrees): 4.5791 4.5791 4.5791 132.21 132.21 69.89
Fractional coordinates of all 4 atoms:
Co1 0.0000 0.0000 0.0000
Ir1 0.5000 0.5000 0.0000
Ir2 0.7500 0.2500 0.5000
Ru1 0.2500 0.7500 0.5000

Output
The value obtained for the formation energy is 24.9 meV per atom. The space group is I-4m2 (119).


CoIr2Ru at its PBEsol-relaxed geometry. Source: Alexandria via LeMat-Bulk, functional SCAN.

Lattice parameters (Å, degrees): 2.6622 3.6934 5.2782 90.00 90.00 90.00
Fractional coordinates of all 4 atoms:
Co1 0.0000 0.0000 0.0000
Ir1 0.5000 0.5000 0.2435
Ir2 0.5000 0.5000 0.7565
Ru1 0.0000 0.0000 0.5000

Output
The value obtained for the formation energy is -6.8 meV per atom. The space group is Pmmm (47).


CoIr2Ru at its PBEsol-relaxed geometry. Source: Alexandria via LeMat-Bulk, functional SCAN.

Lattice parameters (Å, degrees): 4.5657 4.5657 4.5657 131.88 131.88 70.42
Fractional coordinates of all 4 atoms:
Co1 0.0000 0.0000 0.0000
Ir1 0.2500 0.7500 0.5000
Ir2 0.7500 0.2500 0.5000
Ru1 0.5000 0.5000 0.0000

Output
The value obtained for the formation energy is 25.5 meV per atom. The space group is I4/mmm (139).


CoIr2Ru at its PBEsol-relaxed geometry. Source: Alexandria via LeMat-Bulk, functional SCAN.

Lattice parameters (Å, degrees): 8.6745 8.6745 8.6745 17.66 17.66 17.66
Fractional coordinates of all 4 atoms:
Co1 0.0000 0.0000 0.0000
Ir1 0.5021 0.5021 0.5021
Ir2 0.7468 0.7468 0.7468
Ru1 0.2539 0.2539 0.2539

Output
The value obtained for the formation energy is 75.1 meV per atom. The space group is R3m (160).


CoIr2Ru at its PBEsol-relaxed geometry. Source: Alexandria via LeMat-Bulk, functional SCAN.

Lattice parameters (Å, degrees): 4.5674 4.5674 4.5477 99.90 99.90 33.84
Fractional coordinates of all 4 atoms:
Co1 0.0000 0.0000 0.0000
Ir1 0.2525 0.2525 0.7600
Ir2 0.4997 0.4997 0.4942
Ru1 0.7482 0.7482 0.2480

Output
The value obtained for the formation energy is 33.3 meV per atom. The space group is Cm (8).


CoSb2Ir at its PBEsol-relaxed geometry. Source: Alexandria via LeMat-Bulk, functional SCAN.

Lattice parameters (Å, degrees): 3.9336 3.9336 5.2926 90.00 90.00 120.00
Fractional coordinates of all 4 atoms:
Co1 0.0000 0.0000 0.0000
Sb1 0.3333 0.6667 0.7667
Sb2 0.6667 0.3333 0.2333
Ir1 0.0000 0.0000 0.5000

Output
The uncorrected formation energy comes out at -0.197 eV/atom. The space group is P-3m1 (164). As for the energy above the lowest structure with this stoichiometry: 0.0 meV per atom.


CoSbIr at its PBEsol-relaxed geometry. Source: Alexandria via LeMat-Bulk, functional SCAN.

Lattice parameters (Å, degrees): 4.1913 4.1913 2.9482 90.00 90.00 120.00
Fractional coordinates of all 3 atoms:
Co1 0.0000 0.0000 0.0000
Sb1 0.3333 0.6667 0.8969
Ir1 0.6667 0.3333 0.4793

Output
The uncorrected formation energy comes out at 0.438 eV/atom. The space group is P3m1 (156).


CoSb2Ir at its PBEsol-relaxed geometry. Source: Alexandria via LeMat-Bulk, functional SCAN.

Lattice parameters (Å, degrees): 7.1504 7.1504 7.1504 134.06 134.06 66.99
Fractional coordinates of all 8 atoms:
Co1 0.0000 0.0000 0.0000
Co2 0.7500 0.2500 0.5000
Sb1 0.1045 0.6250 0.9795
Sb2 0.3750 0.3545 0.4795
Sb3 0.6455 0.1250 0.0205
Sb4 0.8750 0.8955 0.5205
Ir1 0.2500 0.7500 0.5000
Ir2 0.5000 0.5000 0.0000

Output
The uncorrected formation energy comes out at 0.344 eV/atom. The space group is I-42d (122). As for the energy above the lowest structure with this stoichiometry: 540.5 meV per atom.


CoSb2Ir at its PBEsol-relaxed geometry. Source: Alexandria via LeMat-Bulk, functional SCAN.

Lattice parameters (Å, degrees): 4.6518 4.6518 4.6518 60.00 60.00 60.00
Fractional coordinates of all 4 atoms:
Co1 0.0000 0.0000 0.0000
Sb1 0.2500 0.2500 0.2500
Sb2 0.5000 0.5000 0.5000
Ir1 0.7500 0.7500 0.7500

Output
The uncorrected formation energy comes out at 0.770 eV/atom. The space group is F-43m (216). As for the energy above the lowest structure with this stoichiometry: 966.7 meV per atom.


CoSbIr2 at its PBEsol-relaxed geometry. Source: Alexandria via LeMat-Bulk, functional SCAN.

Lattice parameters (Å, degrees): 8.4510 8.4510 8.4510 19.64 19.64 19.64
Fractional coordinates of all 4 atoms:
Co1 0.0000 0.0000 0.0000
Sb1 0.7460 0.7460 0.7460
Ir1 0.2547 0.2547 0.2547
Ir2 0.5012 0.5012 0.5012

Output
The uncorrected formation energy comes out at 0.505 eV/atom. The space group is R3m (160).


CoSb2Ir at its PBEsol-relaxed geometry. Source: Alexandria via LeMat-Bulk, functional SCAN.

Lattice parameters (Å, degrees): 4.5799 4.5799 4.5799 60.00 60.00 60.00
Fractional coordinates of all 4 atoms:
Co1 0.0000 0.0000 0.0000
Sb1 0.2500 0.2500 0.2500
Sb2 0.7500 0.7500 0.7500
Ir1 0.5000 0.5000 0.5000

Output
The uncorrected formation energy comes out at 0.298 eV/atom. The space group is Fm-3m (225). As for the energy above the lowest structure with this stoichiometry: 495.4 meV per atom.


CoSbIr2 at its PBEsol-relaxed geometry. Source: Alexandria via LeMat-Bulk, functional SCAN.

Lattice parameters (Å, degrees): 2.9130 3.6051 5.6298 90.00 90.00 90.00
Fractional coordinates of all 4 atoms:
Co1 0.0000 0.0000 0.0000
Sb1 0.0000 0.0000 0.5000
Ir1 0.5000 0.5000 0.2310
Ir2 0.5000 0.5000 0.7690

Output
The uncorrected formation energy comes out at 0.225 eV/atom. The space group is Pmmm (47).


Number 1: calculated volume 52.1 Å³/f.u.. Number 2: calculated volume 47.9 Å³/f.u.. Number 3: calculated volume 50.5 Å³/f.u.. Number 4: calculated volume 48.1 Å³/f.u.. Number 5: calculated volume 52.0 Å³/f.u.. Number 6: calculated volume 51.9 Å³/f.u.. Number 7: calculated volume 52.3 Å³/f.u.. Number 8: calculated volume 51.9 Å³/f.u.. Number 9: calculated volume 51.6 Å³/f.u.. Number 10: calculated volume 51.9 Å³/f.u.. Number 11: calculated volume 51.7 Å³/f.u.. Number 12: calculated volume 52.4 Å³/f.u.. Number 13: calculated volume 52.0 Å³/f.u.. Number 14: calculated volume 70.9 Å³/f.u.. Number 15: calculated volume 44.9 Å³/f.u.. Number 16: calculated volume 92.9 Å³/f.u.. Number 17: calculated volume 71.2 Å³/f.u.. Number 18: calculated volume 59.6 Å³/f.u.. Number 19: calculated volume 67.9 Å³/f.u.. Number 20: calculated volume 59.1 Å³/f.u..